# SrCoCuMo PBE relaxed
# - Energy above the lowest structure with this stoichiometry: 59 meV per atom
# - Uncorrected energy: -0.3619 Ry per atom
data_SrCoCuMo
_chemical_formula_sum 'Sr4 Co4 Cu4 Mo4'
_cell_length_a 6.4256
_cell_length_b 6.4256
_cell_length_c 6.4256
_cell_angle_alpha 90.00
_cell_angle_beta 90.00
_cell_angle_gamma 90.00
_space_group_name_H-M_alt 'F -4 3 m'
_space_group_IT_number 216
_space_group_name_Hall 'F -4 2 3'
loop_
_atom_site_label
_atom_site_type_symbol
_atom_site_fract_x
_atom_site_fract_y
_atom_site_fract_z
_atom_site_occupancy
Sr1 Sr 0.0000 0.0000 0.0000 1
Co1 Co 0.0000 0.0000 0.5000 1
Cu1 Cu 0.2500 0.2500 0.7500 1
Mo1 Mo 0.2500 0.2500 0.2500 1


# SrCoCuMo PBE relaxed
# - Energy above the lowest structure with this stoichiometry: 318 meV per atom
# - Uncorrected energy: -0.3430 Ry per atom
data_SrCoCuMo
_chemical_formula_sum 'Sr4 Co4 Cu4 Mo4'
_cell_length_a 6.5280
_cell_length_b 6.5280
_cell_length_c 6.5280
_cell_angle_alpha 90.00
_cell_angle_beta 90.00
_cell_angle_gamma 90.00
_space_group_name_H-M_alt 'F -4 3 m'
_space_group_IT_number 216
_space_group_name_Hall 'F -4 2 3'
loop_
_atom_site_label
_atom_site_type_symbol
_atom_site_fract_x
_atom_site_fract_y
_atom_site_fract_z
_atom_site_occupancy
Sr1 Sr 0.0000 0.0000 0.0000 1
Co1 Co 0.2500 0.2500 0.7500 1
Cu1 Cu 0.0000 0.0000 0.5000 1
Mo1 Mo 0.2500 0.2500 0.2500 1


# Co3Cu2N PBE relaxed
# - Uncorrected energy: -0.4300 Ry per atom
data_Co3Cu2N
_chemical_formula_sum 'Co3 Cu2 N1'
_cell_length_a 2.6300
_cell_length_b 2.6300
_cell_length_c 9.4729
_cell_angle_alpha 90.00
_cell_angle_beta 90.00
_cell_angle_gamma 90.00
_space_group_name_H-M_alt 'P -4 m 2'
_space_group_IT_number 115
loop_
_space_group_symop_operation_xyz
'x,y,z'
'y,-x,-z'
'-x,-y,z'
'-y,x,-z'
'-x,y,z'
'-y,-x,-z'
'x,-y,z'
'y,x,-z'
loop_
_atom_site_label
_atom_site_type_symbol
_atom_site_fract_x
_atom_site_fract_y
_atom_site_fract_z
_atom_site_occupancy
Co1 Co 0.0000 0.0000 0.0000 1
Co2 Co 0.0000 0.5000 0.5787 1
Cu1 Cu 0.0000 0.5000 0.2378 1
N1 N 0.5000 0.5000 0.0000 1


# Pr2CoCuN2 PBE relaxed
# - Uncorrected energy: -0.5052 Ry per atom
data_Pr2CoCuN2
_chemical_formula_sum 'Pr2 Co1 Cu1 N2'
_cell_length_a 3.5829
_cell_length_b 3.8114
_cell_length_c 7.1150
_cell_angle_alpha 90.00
_cell_angle_beta 90.00
_cell_angle_gamma 90.00
_space_group_name_H-M_alt 'P m m m'
_space_group_IT_number 47
loop_
_space_group_symop_operation_xyz
'x,y,z'
'-x,-y,-z'
'-x,-y,z'
'x,y,-z'
'x,-y,-z'
'-x,y,z'
'-x,y,-z'
'x,-y,z'
loop_
_atom_site_label
_atom_site_type_symbol
_atom_site_fract_x
_atom_site_fract_y
_atom_site_fract_z
_atom_site_occupancy
Pr1 Pr 0.0000 0.0000 0.2484 1
Co1 Co 0.5000 0.5000 0.0000 1
Cu1 Cu 0.5000 0.5000 0.5000 1
N1 N 0.0000 0.5000 0.0000 1
N2 N 0.5000 0.0000 0.5000 1


# CoCuSn2N2 PBE relaxed
# - Uncorrected energy: -0.3995 Ry per atom
data_CoCuSn2N2
_chemical_formula_sum 'Co1 Cu1 Sn2 N2'
_cell_length_a 3.5087
_cell_length_b 3.7548
_cell_length_c 7.0978
_cell_angle_alpha 90.00
_cell_angle_beta 90.00
_cell_angle_gamma 90.00
_space_group_name_H-M_alt 'P m m m'
_space_group_IT_number 47
loop_
_space_group_symop_operation_xyz
'x,y,z'
'-x,-y,-z'
'-x,-y,z'
'x,y,-z'
'x,-y,-z'
'-x,y,z'
'-x,y,-z'
'x,-y,z'
loop_
_atom_site_label
_atom_site_type_symbol
_atom_site_fract_x
_atom_site_fract_y
_atom_site_fract_z
_atom_site_occupancy
Co1 Co 0.0000 0.0000 0.0000 1
Cu1 Cu 0.0000 0.0000 0.5000 1
Sn1 Sn 0.5000 0.5000 0.2466 1
N1 N 0.0000 0.5000 0.5000 1
N2 N 0.5000 0.0000 0.0000 1


# Ta4CoCuN2 PBE relaxed
# - Uncorrected energy: -0.7200 Ry per atom
data_Ta4CoCuN2
_chemical_formula_sum 'Ta4 Co1 Cu1 N2'
_cell_length_a 3.0758
_cell_length_b 3.0758
_cell_length_c 13.0137
_cell_angle_alpha 90.00
_cell_angle_beta 90.00
_cell_angle_gamma 120.00
_space_group_name_H-M_alt 'P -6 m 2'
_space_group_IT_number 187
_space_group_name_Hall 'P -6 2'
loop_
_atom_site_label
_atom_site_type_symbol
_atom_site_fract_x
_atom_site_fract_y
_atom_site_fract_z
_atom_site_occupancy
Ta1 Ta 0.0000 0.0000 0.1505 1
Ta2 Ta 0.6667 0.3333 0.3406 1
Co1 Co 0.6667 0.3333 0.0000 1
Cu1 Cu 0.0000 0.0000 0.5000 1
N1 N 0.3333 0.6667 0.2464 1


# Zr4CoCuN2 PBE relaxed
# - Uncorrected energy: -0.6241 Ry per atom
data_Zr4CoCuN2
_chemical_formula_sum 'Zr4 Co1 Cu1 N2'
_cell_length_a 3.2560
_cell_length_b 3.2560
_cell_length_c 13.2961
_cell_angle_alpha 90.00
_cell_angle_beta 90.00
_cell_angle_gamma 120.00
_space_group_name_H-M_alt 'P -6 m 2'
_space_group_IT_number 187
_space_group_name_Hall 'P -6 2'
loop_
_atom_site_label
_atom_site_type_symbol
_atom_site_fract_x
_atom_site_fract_y
_atom_site_fract_z
_atom_site_occupancy
Zr1 Zr 0.0000 0.0000 0.1436 1
Zr2 Zr 0.6667 0.3333 0.3430 1
Co1 Co 0.6667 0.3333 0.0000 1
Cu1 Cu 0.0000 0.0000 0.5000 1
N1 N 0.3333 0.6667 0.2454 1


# NaCoCu PBE relaxed
# - Energy above the lowest structure with this stoichiometry: 0 meV per atom
# - Uncorrected energy: -0.2280 Ry per atom
data_NaCoCu
_chemical_formula_sum 'Na4 Co4 Cu4'
_cell_length_a 5.9650
_cell_length_b 5.9650
_cell_length_c 5.9650
_cell_angle_alpha 90.00
_cell_angle_beta 90.00
_cell_angle_gamma 90.00
_space_group_name_H-M_alt 'F -4 3 m'
_space_group_IT_number 216
_space_group_name_Hall 'F -4 2 3'
loop_
_atom_site_label
_atom_site_type_symbol
_atom_site_fract_x
_atom_site_fract_y
_atom_site_fract_z
_atom_site_occupancy
Na1 Na 0.0000 0.0000 0.0000 1
Co1 Co 0.0000 0.0000 0.5000 1
Cu1 Cu 0.2500 0.2500 0.7500 1


Volume, record by record: 265, 278, 66, 97, 94, 107, 122, 212 Å³/cell